Below is crystalline Pr2HoZr at its relaxed geometry, with properties calculated at the PBE level.

Results
Its energy above the most stable polymorph in this dataset is 0.0 meV/atom. The energy relative to the elements is 134 meV per atom. For the volume, the calculation gives 123.0 Å³/cell.

Unit cell a=4.9230 b=4.9978 c=4.9978 alpha=90.00 beta=90.00 gamma=90.00
With the nearest neighbours (Å) after each atom.
Element x y z (fractional)
Pr 0.0000 0.0000 0.5000  4 Ho 3.51, 4 Zr 3.51, 4 Pr 3.53
Pr 0.0000 0.5000 0.0000  4 Ho 3.51, 4 Zr 3.51, 4 Pr 3.53
Ho 0.5000 0.5000 0.5000  8 Pr 3.51, 4 Zr 3.53
Zr 0.5000 0.0000 0.0000  8 Pr 3.51, 4 Ho 3.53

***

Below is crystalline In2SbSe at its relaxed geometry, with properties calculated at the PBE level.

Results
Its energy above the most stable polymorph in this dataset is 206.6 meV/atom. For the volume, the calculation gives 103.9 Å³/cell.

Unit cell a=3.6077 b=3.6108 c=7.9724 alpha=90.00 beta=90.00 gamma=90.00
With the nearest neighbours (Å) after each atom.
Element x y z (fractional)
In 0.0000 0.0000 0.9732  4 Se 3.11, 4 Sb 3.37
In 0.0000 0.0000 0.5268  4 Se 3.11, 4 Sb 3.37
Se 0.5000 0.5000 0.7500  8 In 3.11
Sb 0.5000 0.5000 0.2500  8 In 3.37, 4 Sb 3.61

***

Below is crystalline LiDyAu at its relaxed geometry, with properties calculated at the PBE level.

Results
Its energy above the most stable polymorph in this dataset is 0.0 meV/atom. The energy relative to the elements is -620 meV per atom. For the volume, the calculation gives 193.5 Å³/cell.

Unit cell a=4.0868 b=7.3948 c=7.3948 alpha=120.00 beta=90.00 gamma=90.00
With the nearest neighbours (Å) after each atom.
Element x y z (fractional)
Au 0.5000 0.0000 0.0000  6 Li 2.70
Au 0.0000 0.6667 0.3333  3 Li 2.88, 6 Dy 3.03
Au 0.0000 0.3333 0.6667  3 Li 2.88, 6 Dy 3.03
Li 0.0000 0.2381 0.0000  4 Au 2.70-2.88
Li 0.0000 0.7619 0.7619  4 Au 2.70-2.88
Li 0.0000 0.0000 0.2381  4 Au 2.70-2.88
Dy 0.5000 0.4106 0.4106  5 Au 3.03-3.04, 6 Li 3.31-3.34
Dy 0.5000 0.0000 0.5894  5 Au 3.03-3.04, 6 Li 3.31-3.34
Dy 0.5000 0.5894 0.0000  5 Au 3.03-3.04, 6 Li 3.31-3.34

***

Below is crystalline ZrFe2Tc at its relaxed geometry, with properties calculated at the PBE level.

Results
Its energy above the most stable polymorph in this dataset is 24.5 meV/atom. The energy relative to the elements is 32 meV per atom. For the volume, the calculation gives 60.0 Å³/cell.

Unit cell a=5.1227 b=5.1227 c=4.3288 alpha=64.98 beta=64.98 gamma=36.15
With the nearest neighbours (Å) after each atom.
Element x y z (fractional)
Fe 0.4893 0.4893 0.5112  2 Tc 2.62, 4 Fe 2.69-2.70, 2 Zr 2.77
Fe 0.0107 0.0107 0.9888  2 Tc 2.62, 4 Fe 2.69-2.70, 2 Zr 2.77
Zr 0.2500 0.2500 0.2500  4 Tc 2.69, 6 Fe 2.77-3.00
Tc 0.7500 0.7500 0.7500  4 Fe 2.62, 4 Zr 2.69

***

Below is crystalline Lu3ZrH at its relaxed geometry, with properties calculated at the PBE level.

Results
For the total energy, the calculation gives -5.2065 eV per atom. For the volume, the calculation gives 108.4 Å³/cell.

Unit cell a=4.7678 b=4.7678 c=4.7678 alpha=90.00 beta=90.00 gamma=90.00
With the nearest neighbours (Å) after each atom.
Element x y z (fractional)
H 0.0000 0.0000 0.0000  6 Lu 2.38
Zr 0.5000 0.5000 0.5000  12 Lu 3.37
Lu 0.0000 0.0000 0.5000  2 H 2.38
Lu 0.5000 0.0000 0.0000  2 H 2.38
Lu 0.0000 0.5000 0.0000  2 H 2.38

***

Below is crystalline LaCo2 at its relaxed geometry, with properties calculated at the PBE level.

Results
The energy relative to the elements is 477 meV per atom. For the volume, the calculation gives 108.7 Å³/cell.

Unit cell a=2.9899 b=4.9379 c=7.3602 alpha=90.00 beta=90.00 gamma=90.00
With the nearest neighbours (Å) after each atom.
Element x y z (fractional)
Co 0.7147 0.5000 0.1316  2 Co 2.32-2.58
Co 0.2853 0.5000 0.8684  2 Co 2.32-2.58
Co 0.7853 0.0000 0.6316  2 Co 2.32-2.58
Co 0.2147 0.0000 0.3684  2 Co 2.32-2.58
La 0.0000 0.0000 0.0000  6 Co 2.79, 2 La 2.99
La 0.5000 0.5000 0.5000  6 Co 2.79, 2 La 2.99

***

Below is crystalline Dy2ZrH8 at its relaxed geometry, with properties calculated at the PBE level.

Results
For the total energy, the calculation gives -4.5660 eV per atom. For the volume, the calculation gives 95.3 Å³/cell.

Unit cell a=3.6783 b=4.8230 c=6.1673 alpha=113.02 beta=107.35 gamma=90.00
With the nearest neighbours (Å) after each atom.
Element x y z (fractional)
H 0.8286 0.8286 0.6573  8 H 2.18-2.23, 2 Dy 2.41
H 0.3472 0.1022 0.6944  1 Zr 2.05, 3 Dy 2.19-2.29, 3 H 2.22-2.23
H 0.3472 0.5922 0.6944  1 Zr 2.05, 3 Dy 2.19-2.29, 3 H 2.22-2.23
H 0.0000 0.7591 0.0000  2 Zr 2.18, 3 H 2.18-2.32, 2 Dy 2.19
H 0.0000 0.2409 0.0000  2 Zr 2.18, 3 H 2.18-2.32, 2 Dy 2.19
H 0.6528 0.4078 0.3056  1 Zr 2.05, 3 Dy 2.19-2.29, 3 H 2.22-2.23
H 0.1714 0.1714 0.3427  8 H 2.18-2.23, 2 Dy 2.41
H 0.6528 0.8978 0.3056  1 Zr 2.05, 3 Dy 2.19-2.29, 3 H 2.22-2.23
Zr 0.5000 0.0000 0.0000  8 H 2.05-2.18
Dy 0.8327 0.3327 0.6654  10 H 2.19-2.41
Dy 0.1673 0.6673 0.3346  10 H 2.19-2.41

***

Below is crystalline Cu5Ru3 at its relaxed geometry, with properties calculated at the PBE level.

Results
Its energy above the most stable polymorph in this dataset is 0.0 meV/atom. The energy relative to the elements is 288 meV per atom. For the volume, the calculation gives 103.4 Å³/cell.

Unit cell a=5.3392 b=5.3392 c=3.6319 alpha=90.00 beta=90.00 gamma=93.07
With the nearest neighbours (Å) after each atom.
Element x y z (fractional)
Cu 0.5000 0.0000 0.0000  6 Cu 2.58-2.67, 6 Ru 2.66-2.67
Cu 0.7628 0.2372 0.5000  6 Cu 2.58, 6 Ru 2.65-2.73
Cu 0.0000 0.0000 0.0000  8 Cu 2.58-2.67, 4 Ru 2.64
Cu 0.2372 0.7628 0.5000  6 Cu 2.58, 6 Ru 2.65-2.73
Cu 0.0000 0.5000 0.0000  6 Cu 2.58-2.67, 6 Ru 2.66-2.67
Ru 0.7396 0.7396 0.5000  2 Ru 2.53, 10 Cu 2.64-2.69
Ru 0.5000 0.5000 0.0000  4 Ru 2.53, 8 Cu 2.67-2.73
Ru 0.2604 0.2604 0.5000  2 Ru 2.53, 10 Cu 2.64-2.69